[1]
First-principles (PBEsol) data for a relaxed structure of Li4MnP6O18, as listed in Alexandria via LeMat-Bulk. Values from VASP.

Quantum ESPRESSO input file:
```
&SYSTEM
  ibrav = 0, nat = 29, ntyp = 4
/
ATOMIC_SPECIES
Li 6.94 Li.upf
Mn 54.94 Mn.upf
P 30.97 P.upf
O 16.00 O.upf
ATOMIC_POSITIONS crystal
Li 0.389 0.144 0.570
Li 0.500 0.501 0.000
Li 0.600 0.847 0.412
Li 0.227 0.947 0.100
Mn 0.799 0.063 0.919
P 0.009 0.259 0.683
P 0.690 0.217 0.336
P 0.775 0.547 0.749
P 0.219 0.448 0.250
P 0.308 0.782 0.668
P 0.996 0.749 0.317
O 0.860 0.103 0.695
O 0.523 0.069 0.336
O 0.916 0.205 0.444
O 0.233 0.278 0.749
O 0.612 0.429 0.780
O 0.987 0.489 0.809
O 0.678 0.203 0.135
O 0.138 0.211 0.133
O 0.711 0.457 0.501
O 0.283 0.540 0.499
O 0.842 0.782 0.862
O 0.322 0.801 0.869
O 0.013 0.515 0.190
O 0.388 0.557 0.219
O 0.770 0.727 0.252
O 0.087 0.799 0.556
O 0.481 0.927 0.666
O 0.143 0.901 0.303
CELL_PARAMETERS angstrom
-4.100 4.370 3.742
0.782 -5.408 5.166
6.364 4.035 -1.925
```


[2]
! Li3Mn2P3O12 (PBEsol, optimized geometry); values from VASP
&SYSTEM
  ibrav = 0, nat = 80, ntyp = 4
/
ATOMIC_SPECIES
Li 6.94 Li.upf
Mn 54.94 Mn.upf
P 30.97 P.upf
O 16.00 O.upf
ATOMIC_POSITIONS crystal
Li 0.250 0.625 0.375
Li 0.625 0.875 0.750
Li 0.125 0.375 0.750
Li 0.750 0.875 0.125
Li 0.375 0.250 0.625
Li 0.875 0.250 0.125
Li 0.625 0.750 0.375
Li 0.125 0.750 0.875
Li 0.250 0.125 0.875
Li 0.875 0.625 0.250
Li 0.375 0.125 0.250
Li 0.750 0.375 0.625
Mn 0.500 0.500 0.500
Mn 0.000 0.000 0.000
Mn 0.500 0.000 0.500
Mn 0.500 0.500 0.000
Mn 0.000 0.000 0.500
Mn 0.500 0.000 0.000
Mn 0.000 0.500 0.000
Mn 0.000 0.500 0.500
P 0.125 0.250 0.375
P 0.375 0.625 0.750
P 0.125 0.875 0.250
P 0.250 0.375 0.125
P 0.250 0.875 0.625
P 0.375 0.750 0.125
P 0.625 0.250 0.875
P 0.750 0.125 0.375
P 0.750 0.625 0.875
P 0.875 0.125 0.750
P 0.625 0.375 0.250
P 0.875 0.750 0.625
O 0.108 0.409 0.117
O 0.117 0.208 0.509
O 0.091 0.392 0.383
O 0.009 0.117 0.708
O 0.091 0.699 0.208
O 0.409 0.617 0.608
O 0.383 0.491 0.792
O 0.792 0.801 0.909
O 0.292 0.383 0.991
O 0.392 0.883 0.591
O 0.108 0.699 0.491
O 0.199 0.591 0.708
O 0.301 0.009 0.392
O 0.883 0.091 0.892
O 0.509 0.801 0.892
O 0.991 0.108 0.199
O 0.591 0.208 0.699
O 0.509 0.708 0.117
O 0.617 0.108 0.909
O 0.199 0.608 0.991
O 0.301 0.292 0.409
O 0.208 0.009 0.617
O 0.292 0.909 0.801
O 0.392 0.509 0.301
O 0.708 0.091 0.199
O 0.792 0.991 0.383
O 0.608 0.491 0.699
O 0.801 0.392 0.009
O 0.699 0.708 0.591
O 0.383 0.892 0.091
O 0.009 0.892 0.801
O 0.409 0.792 0.301
O 0.491 0.292 0.883
O 0.491 0.199 0.108
O 0.801 0.409 0.292
O 0.699 0.991 0.608
O 0.117 0.909 0.108
O 0.892 0.301 0.509
O 0.708 0.617 0.009
O 0.608 0.117 0.409
O 0.208 0.199 0.091
O 0.617 0.509 0.208
O 0.909 0.301 0.792
O 0.591 0.383 0.392
O 0.991 0.883 0.292
O 0.909 0.608 0.617
O 0.883 0.792 0.491
O 0.892 0.591 0.883
CELL_PARAMETERS angstrom
10.041 0.000 0.000
-3.347 9.467 0.000
-3.347 -4.734 8.199
! energy above the lowest structure with this stoichiometry: 43 meV/atom


[3]
First-principles (PBEsol) data for a relaxed structure of Li3Mn2P4O14, as listed in Alexandria via LeMat-Bulk. Values from VASP.

Quantum ESPRESSO input file:
```
&SYSTEM
  ibrav = 0, nat = 23, ntyp = 4
/
ATOMIC_SPECIES
Li 6.94 Li.upf
Mn 54.94 Mn.upf
P 30.97 P.upf
O 16.00 O.upf
ATOMIC_POSITIONS crystal
Li 0.187 0.344 0.149
Li 0.286 0.911 0.834
Li 0.812 0.663 0.622
Mn 0.227 0.260 0.492
Mn 0.807 0.727 0.013
P 0.377 0.488 0.802
P 0.216 0.917 0.213
P 0.791 0.083 0.714
P 0.602 0.521 0.322
O 0.072 0.117 0.669
O 0.154 0.122 0.292
O 0.185 0.512 0.957
O 0.216 0.491 0.650
O 0.407 0.394 0.319
O 0.618 0.058 0.578
O 0.604 0.262 0.830
O 0.409 0.756 0.344
O 0.403 0.907 0.055
O 0.541 0.638 0.793
O 0.762 0.509 0.156
O 0.798 0.474 0.464
O 0.880 0.892 0.829
O 0.957 0.861 0.185
CELL_PARAMETERS angstrom
4.996 0.083 0.068
2.270 6.611 0.129
0.293 0.116 8.258
```


[4]
First-principles (PBEsol) data for a relaxed structure of Li7Mn4P9O32, as listed in Alexandria via LeMat-Bulk. Values from VASP.

Quantum ESPRESSO input file:
```
&SYSTEM
  ibrav = 0, nat = 104, ntyp = 4
/
ATOMIC_SPECIES
Li 6.94 Li.upf
Mn 54.94 Mn.upf
P 30.97 P.upf
O 16.00 O.upf
ATOMIC_POSITIONS crystal
Li 0.000 0.000 0.000
Li 0.144 0.500 0.000
Li 0.644 0.500 0.000
Li 0.830 0.748 0.107
Li 0.330 0.607 0.248
Li 0.170 0.107 0.252
Li 0.670 0.248 0.393
Li 0.500 0.500 0.500
Li 0.356 0.000 0.500
Li 0.856 0.000 0.500
Li 0.670 0.752 0.607
Li 0.170 0.893 0.748
Li 0.330 0.393 0.752
Li 0.830 0.252 0.893
Mn 0.638 0.194 0.121
Mn 0.362 0.879 0.194
Mn 0.138 0.379 0.306
Mn 0.862 0.694 0.379
Mn 0.862 0.306 0.621
Mn 0.138 0.621 0.694
Mn 0.362 0.121 0.806
Mn 0.638 0.806 0.879
P 0.500 0.000 0.000
P 0.390 0.689 0.062
P 0.147 0.250 0.110
P 0.890 0.562 0.189
P 0.853 0.890 0.250
P 0.647 0.390 0.250
P 0.610 0.062 0.311
P 0.353 0.750 0.390
P 0.110 0.189 0.438
P 0.000 0.500 0.500
P 0.110 0.811 0.562
P 0.353 0.250 0.610
P 0.610 0.938 0.689
P 0.647 0.610 0.750
P 0.853 0.110 0.750
P 0.890 0.438 0.811
P 0.147 0.750 0.890
P 0.390 0.311 0.938
O 0.168 0.726 0.003
O 0.584 0.743 0.018
O 0.660 0.066 0.058
O 0.340 0.942 0.066
O 0.395 0.580 0.052
O 0.895 0.552 0.080
O 0.945 0.184 0.117
O 0.334 0.181 0.138
O 0.339 0.723 0.165
O 0.139 0.344 0.167
O 0.639 0.333 0.156
O 0.666 0.862 0.181
O 0.055 0.883 0.184
O 0.668 0.503 0.226
O 0.839 0.665 0.223
O 0.084 0.518 0.243
O 0.416 0.018 0.257
O 0.661 0.165 0.277
O 0.832 0.003 0.274
O 0.445 0.383 0.316
O 0.834 0.362 0.319
O 0.861 0.833 0.344
O 0.361 0.844 0.333
O 0.161 0.223 0.335
O 0.166 0.681 0.362
O 0.555 0.684 0.383
O 0.605 0.052 0.420
O 0.105 0.080 0.448
O 0.160 0.442 0.434
O 0.840 0.566 0.442
O 0.916 0.243 0.482
O 0.332 0.226 0.497
O 0.332 0.774 0.503
O 0.916 0.757 0.518
O 0.840 0.434 0.558
O 0.160 0.558 0.566
O 0.105 0.920 0.552
O 0.605 0.948 0.580
O 0.555 0.316 0.617
O 0.166 0.319 0.638
O 0.161 0.777 0.665
O 0.361 0.156 0.667
O 0.861 0.167 0.656
O 0.834 0.638 0.681
O 0.445 0.617 0.684
O 0.832 0.997 0.726
O 0.661 0.835 0.723
O 0.416 0.982 0.743
O 0.084 0.482 0.757
O 0.839 0.335 0.777
O 0.668 0.497 0.774
O 0.055 0.117 0.816
O 0.666 0.138 0.819
O 0.639 0.667 0.844
O 0.139 0.656 0.833
O 0.339 0.277 0.835
O 0.334 0.819 0.862
O 0.945 0.816 0.883
O 0.895 0.448 0.920
O 0.395 0.420 0.948
O 0.340 0.058 0.934
O 0.660 0.934 0.942
O 0.584 0.257 0.982
O 0.168 0.274 0.997
CELL_PARAMETERS angstrom
6.123 0.000 0.000
0.000 13.771 0.000
0.000 0.000 13.771
```


Density of states at the Fermi level (states/eV per atom)
0.0000, 0.5025, 0.1386, 0.1619
Size of the total moment (μB per atom)
0.172, 0.400, 0.391, 0.308
Energy relative to the elements, uncorrected (eV per atom)
-2.19, -2.10, -2.15, -2.14